# CaTb2Sb | Alexandria via LeMat-Bulk | PBE-GGA | relaxed
# space group = P4/mmm
# E_form (uncorrected) = -40 kJ/mol of atoms
# total magnetic moment = 0.002 μB per formula unit
# D(E_F) = 4.98 states/eV per cell
data_CaTb2Sb
_chemical_formula_sum 'Ca1 Tb2 Sb1'
_symmetry_space_group_name_H-M 'P 1'
_symmetry_Int_Tables_number 1
_cell_length_a 4.8425
_cell_length_b 4.8425
_cell_length_c 4.8886
_cell_angle_alpha 90.00
_cell_angle_beta 90.00
_cell_angle_gamma 90.00
loop_
_symmetry_equiv_pos_as_xyz
'x,y,z'
loop_
_atom_site_label
_atom_site_type_symbol
_atom_site_fract_x
_atom_site_fract_y
_atom_site_fract_z
_atom_site_occupancy
Ca1 Ca 0.0000 0.0000 0.0000 1
Tb1 Tb 0.0000 0.5000 0.5000 1
Tb2 Tb 0.5000 0.0000 0.5000 1
Sb1 Sb 0.5000 0.5000 0.0000 1